The following is a PBE calculation of a geometry-optimized CaTaBi2Ir structure, from Alexandria.

CIF file:
```
data_CaTaBi2Ir
_chemical_formula_sum 'Ca1 Ta1 Bi2 Ir1'
_cell_length_a 5.362
_cell_length_b 5.587
_cell_length_c 5.362
_cell_angle_alpha 90.00
_cell_angle_beta 90.00
_cell_angle_gamma 90.00
_symmetry_space_group_name_H-M 'P 1'
_symmetry_Int_Tables_number 1
_symmetry_space_group_name_Hall 'P 1'
loop_
_atom_site_label
_atom_site_type_symbol
_atom_site_fract_x
_atom_site_fract_y
_atom_site_fract_z
Ca1 Ca 0.000 0.500 0.000
Ir1 Ir 0.500 0.500 0.500
Bi1 Bi 0.000 0.000 0.500
Bi2 Bi 0.500 0.000 0.000
Ta1 Ta 0.000 0.000 0.000
```

Properties
**Crystal system**: tetragonal
**Formation energy**: 1.327 eV/atom
**Raw total energy**: -23.84 eV per cell

The following is a PBE calculation of a geometry-optimized KCaBi structure, from Alexandria.

CIF file:
```
data_KCaBi
_chemical_formula_sum 'K1 Ca1 Bi1'
_cell_length_a 4.457
_cell_length_b 4.457
_cell_length_c 7.150
_cell_angle_alpha 108.16
_cell_angle_beta 108.16
_cell_angle_gamma 90.00
_symmetry_space_group_name_H-M 'P 1'
_symmetry_Int_Tables_number 1
_symmetry_space_group_name_Hall 'P 1'
loop_
_atom_site_label
_atom_site_type_symbol
_atom_site_fract_x
_atom_site_fract_y
_atom_site_fract_z
K1 K 0.609 0.609 0.218
Ca1 Ca 0.342 0.342 0.685
Bi1 Bi 0.899 0.899 0.797
```

Properties
**Crystal system**: tetragonal
**Formation energy**: -0.441 eV/atom
**Raw total energy**: -8.30 eV per cell

The following is a PBE calculation of a geometry-optimized K2Ca2Bi structure, from Alexandria.

CIF file:
```
data_K2Ca2Bi
_chemical_formula_sum 'K4 Ca4 Bi2'
_cell_length_a 8.440
_cell_length_b 8.440
_cell_length_c 6.853
_cell_angle_alpha 90.00
_cell_angle_beta 90.00
_cell_angle_gamma 90.00
_symmetry_space_group_name_H-M 'P 1'
_symmetry_Int_Tables_number 1
_symmetry_space_group_name_Hall 'P 1'
loop_
_atom_site_label
_atom_site_type_symbol
_atom_site_fract_x
_atom_site_fract_y
_atom_site_fract_z
K1 K 0.175 0.675 0.500
K2 K 0.675 0.825 0.500
K3 K 0.825 0.325 0.500
K4 K 0.325 0.175 0.500
Ca1 Ca 0.340 0.840 0.000
Ca2 Ca 0.840 0.660 0.000
Ca3 Ca 0.660 0.160 0.000
Ca4 Ca 0.160 0.340 0.000
Bi1 Bi 0.000 0.000 0.000
Bi2 Bi 0.500 0.500 0.000
```

Properties
**Crystal system**: tetragonal
**Formation energy**: -0.191 eV/atom
**Raw total energy**: -22.07 eV per cell

The following is a PBE calculation of a geometry-optimized K2CaBi2 structure, from Alexandria.

CIF file:
```
data_K2CaBi2
_chemical_formula_sum 'K2 Ca1 Bi2'
_cell_length_a 4.868
_cell_length_b 4.868
_cell_length_c 8.822
_cell_angle_alpha 73.98
_cell_angle_beta 73.98
_cell_angle_gamma 90.00
_symmetry_space_group_name_H-M 'P 1'
_symmetry_Int_Tables_number 1
_symmetry_space_group_name_Hall 'P 1'
loop_
_atom_site_label
_atom_site_type_symbol
_atom_site_fract_x
_atom_site_fract_y
_atom_site_fract_z
K1 K 0.750 0.250 0.500
K2 K 0.250 0.750 0.500
Ca1 Ca 0.000 0.000 0.000
Bi1 Bi 0.408 0.408 0.185
Bi2 Bi 0.592 0.592 0.815
```

Properties
**Crystal system**: tetragonal
**Formation energy**: -0.247 eV/atom
**Raw total energy**: -13.19 eV per cell

The following is a PBE calculation of a geometry-optimized KCa2Bi2 structure, from Alexandria.

CIF file:
```
data_KCa2Bi2
_chemical_formula_sum 'K2 Ca4 Bi4'
_cell_length_a 9.584
_cell_length_b 9.584
_cell_length_c 3.822
_cell_angle_alpha 90.00
_cell_angle_beta 90.00
_cell_angle_gamma 90.00
_symmetry_space_group_name_H-M 'P 1'
_symmetry_Int_Tables_number 1
_symmetry_space_group_name_Hall 'P 1'
loop_
_atom_site_label
_atom_site_type_symbol
_atom_site_fract_x
_atom_site_fract_y
_atom_site_fract_z
K1 K 0.000 0.000 0.000
K2 K 0.500 0.500 0.000
Ca1 Ca 0.135 0.635 0.500
Ca2 Ca 0.635 0.865 0.500
Ca3 Ca 0.865 0.365 0.500
Ca4 Ca 0.365 0.135 0.500
Bi1 Bi 0.339 0.839 0.000
Bi2 Bi 0.839 0.661 0.000
Bi3 Bi 0.661 0.161 0.000
Bi4 Bi 0.161 0.339 0.000
```

Properties
**Crystal system**: tetragonal
**Formation energy**: -0.680 eV/atom
**Raw total energy**: -32.53 eV per cell

The following is a PBE calculation of a geometry-optimized KCa2Bi structure, from Alexandria.

CIF file:
```
data_KCa2Bi
_chemical_formula_sum 'K1 Ca2 Bi1'
_cell_length_a 4.818
_cell_length_b 4.818
_cell_length_c 10.229
_cell_angle_alpha 76.38
_cell_angle_beta 76.38
_cell_angle_gamma 60.00
_symmetry_space_group_name_H-M 'P 1'
_symmetry_Int_Tables_number 1
_symmetry_space_group_name_Hall 'P 1'
loop_
_atom_site_label
_atom_site_type_symbol
_atom_site_fract_x
_atom_site_fract_y
_atom_site_fract_z
K1 K 0.501 0.501 0.497
Ca1 Ca 0.052 0.052 0.844
Ca2 Ca 0.281 0.281 0.158
Bi1 Bi 0.666 0.666 0.002
```

Properties
**Crystal system**: trigonal
**Formation energy**: -0.358 eV/atom
**Raw total energy**: -10.41 eV per cell